VASP calculation (GGA+U) on OsW3F after structural relaxation.

Lattice parameters (Å, degrees): 4.2340 4.2340 4.2340 90.00 90.00 90.00
With the nearest neighbours (Å) after each atom.
Positions (direct):
W: 0.0000 0.5000 0.0000  2 F 2.12
W: 0.0000 0.0000 0.5000  2 F 2.12
W: 0.5000 0.0000 0.0000  2 F 2.12
F: 0.0000 0.0000 0.0000  6 W 2.12
Os: 0.5000 0.5000 0.5000  12 W 2.99

Computed properties:
Total moment ... 0.000 μB per atom
Symmetry ... Pm-3m
Electronic total energy ... -5.5921 eV/atom
Energy above the most stable polymorph in this dataset ... 0.0000 eV per atom